No. 1
## SrMoOs2 (GGA-PBE)

Data for a geometry-optimized SrMoOs2 structure.

Geometry as POSCAR:
```
SrMoOs2
1.0
-1.537 2.544 4.732
1.537 -2.544 4.732
1.537 2.544 -4.732
Sr Mo Os
1 1 2
Cartesian
0.000 0.000 0.000
0.000 0.000 4.732
1.537 0.000 2.672
0.000 2.544 2.060
```

Values from the calculation:
energy above the most stable polymorph in this dataset = 1.73 eV/f.u.
ΔH_f (0 K) = 0.9398 eV per atom

***

No. 2
## CaLuCdPd (GGA-PBE)

Data for a geometry-optimized CaLuCdPd structure.

Geometry as POSCAR:
```
CaLuCdPd
1.0
0.000 3.599 3.599
3.599 0.000 3.599
3.599 3.599 0.000
Ca Lu Cd Pd
1 1 1 1
Cartesian
0.000 0.000 0.000
3.599 3.599 3.599
1.800 1.800 1.800
5.399 5.399 5.399
```

Values from the calculation:
ΔH_f (0 K) = -0.4872 eV per atom

***

No. 3
## LaScN2F (GGA-PBE)

Data for a geometry-optimized LaScN2F structure.

Geometry as POSCAR:
```
LaScN2F
1.0
4.211 0.000 0.000
0.000 4.211 0.000
0.000 0.000 4.042
La Sc N F
1 1 2 1
Cartesian
0.000 0.000 0.000
2.105 2.105 2.021
0.000 2.105 2.021
2.105 0.000 2.021
2.105 2.105 0.000
```

Values from the calculation:
formation energy from raw total energies = -1.73 eV/atom
energy above the most stable polymorph in this dataset = 0.00 eV/f.u.

***

No. 4
## Ho2Cd3In3 (GGA-PBE)

Data for a geometry-optimized Ho2Cd3In3 structure.

Geometry as POSCAR:
```
Ho2Cd3In3
1.0
4.521 0.000 0.000
0.000 4.574 0.000
0.000 0.000 9.295
Ho Cd In
2 3 3
Cartesian
0.000 0.000 2.299
0.000 0.000 6.996
0.000 2.287 0.000
0.000 2.287 4.648
2.260 0.000 4.648
2.260 0.000 0.000
2.260 2.287 2.371
2.260 2.287 6.924
```

Values from the calculation:
ΔH_f (0 K) = -0.3474 eV per atom

***

No. 5
## LiCu2SbH (GGA-PBE)

Data for a geometry-optimized LiCu2SbH structure.

Geometry as POSCAR:
```
LiCu2SbH
1.0
3.946 0.000 0.000
0.000 3.946 0.000
0.000 0.000 4.087
Li Cu Sb H
1 2 1 1
Cartesian
0.000 0.000 0.000
0.000 1.973 2.044
1.973 0.000 2.044
1.973 1.973 0.000
0.000 0.000 2.044
```

Values from the calculation:
electronic total energy = -3.563 eV per atom

***

No. 6
## CaZn2Ag8 (GGA-PBE)

Data for a geometry-optimized CaZn2Ag8 structure.

Geometry as POSCAR:
```
CaZn2Ag8
1.0
5.527 0.000 0.000
0.000 5.527 0.000
0.000 0.000 8.713
Ca Zn Ag
1 2 8
Cartesian
0.000 0.000 0.000
0.000 2.763 4.357
2.763 0.000 4.357
1.389 1.389 2.472
1.389 1.389 6.241
1.389 4.138 2.472
1.389 4.138 6.241
4.138 1.389 2.472
4.138 1.389 6.241
4.138 4.138 2.472
4.138 4.138 6.241
```

Values from the calculation:
energy above the most stable polymorph in this dataset = 2.86 eV/f.u.
ΔH_f (0 K) = 0.1847 eV per atom

***

No. 7
## LiSe2BrO (GGA-PBE)

Data for a geometry-optimized LiSe2BrO structure.

Geometry as POSCAR:
```
LiSe2BrO
1.0
4.665 0.000 0.000
0.000 4.665 0.000
0.000 0.000 4.559
Li Se Br O
1 2 1 1
Cartesian
0.000 0.000 0.000
0.000 2.333 0.000
2.333 0.000 0.000
0.000 0.000 2.280
2.333 2.333 2.280
```

Values from the calculation:
formation energy from raw total energies = 0.78 eV/atom
energy above the most stable polymorph in this dataset = 4.82 eV/f.u.

***

No. 8
## TiBiPt3 (GGA-PBE)

Data for a geometry-optimized TiBiPt3 structure.

Geometry as POSCAR:
```
TiBiPt3
1.0
4.769 0.000 0.000
0.000 4.769 0.000
0.000 0.000 4.769
Ti Bi Pt
1 1 3
Cartesian
0.000 0.000 0.000
2.385 2.385 2.385
0.000 0.000 2.385
0.000 2.385 0.000
2.385 0.000 0.000
```

Values from the calculation:
energy above the most stable polymorph in this dataset = 0.00 eV/f.u.
ΔH_f (0 K) = 0.2735 eV per atom

***

Question: Which formula does entry 3 have?
Answer: LaScN2F

***

What did the sixth record say?
## CaZn2Ag8 (GGA-PBE)

Data for a geometry-optimized CaZn2Ag8 structure.

Geometry as POSCAR:
```
CaZn2Ag8
1.0
5.527 0.000 0.000
0.000 5.527 0.000
0.000 0.000 8.713
Ca Zn Ag
1 2 8
Cartesian
0.000 0.000 0.000
0.000 2.763 4.357
2.763 0.000 4.357
1.389 1.389 2.472
1.389 1.389 6.241
1.389 4.138 2.472
1.389 4.138 6.241
4.138 1.389 2.472
4.138 1.389 6.241
4.138 4.138 2.472
4.138 4.138 6.241
```

Values from the calculation:
energy above the most stable polymorph in this dataset = 2.86 eV/f.u.
ΔH_f (0 K) = 0.1847 eV per atom